[1]
## Gd3CdH (PBE-GGA)

Data for crystalline Gd3CdH at its relaxed geometry.

The structure in extended XYZ format:
```
5
Lattice="-2.4170 4.2402 0.4857 0.4024 -0.3293 4.8772 4.2489 2.4432 -0.1856" Properties=species:S:1:pos:R:3 pbc="T T T"
H 0.0000 0.0000 0.0000
Gd 0.2012 -0.1646 2.4386
Gd 2.1245 1.2216 -0.0928
Gd -1.2085 2.1201 0.2428
Cd 1.1172 3.1771 2.5886
```

Space group: No. 221
Size of the total moment in μB/cell: 23.72
VASP energy in eV per atom: -9.582

=====

[2]
## GdCdH (PBE-GGA)

Data for crystalline GdCdH at its relaxed geometry.

The structure in extended XYZ format:
```
6
Lattice="-1.0009 1.0714 -2.9167 4.6655 -3.0417 -0.8915 -3.6359 -5.3651 -0.7231" Properties=species:S:1:pos:R:3 pbc="T T T"
H -2.9086 -3.6799 -2.1805
H 2.9372 -3.6554 -2.3507
Gd -1.8180 -2.6825 -0.3615
Gd 0.0000 0.0000 0.0000
Cd 0.4822 -1.9437 -2.7064
Cd -0.4536 -5.3916 -1.8249
```

Space group: No. 63
Size of the total moment in μB/cell: 15.54
VASP energy in eV per atom: -6.310

=====

[3]
## GdCdH (PBE-GGA)

Data for crystalline GdCdH at its relaxed geometry.

The structure in extended XYZ format:
```
3
Lattice="3.7492 0.0000 0.0000 -1.8746 3.2469 0.0000 0.0000 0.0000 5.0822" Properties=species:S:1:pos:R:3 pbc="T T T"
H 0.0000 2.1646 2.5476
Gd 1.8746 1.0823 2.5376
Cd 0.0000 0.0000 5.0792
```

Space group: No. 156
Size of the total moment in μB/cell: 7.87
VASP energy in eV per atom: -6.400

=====

[4]
## Gd2CdH (PBE-GGA)

Data for crystalline Gd2CdH at its relaxed geometry.

The structure in extended XYZ format:
```
4
Lattice="-3.0231 -1.7572 0.1787 -0.4184 -2.5256 2.3886 -4.3837 4.7468 6.8172" Properties=species:S:1:pos:R:3 pbc="T T T"
H -3.9126 0.2320 4.6923
Gd -3.2491 2.5823 4.7274
Gd -4.5761 -2.1183 4.6571
Cd 0.0000 0.0000 0.0000
```

Space group: No. 166
Size of the total moment in μB/cell: 14.43
VASP energy in eV per atom: -8.125

=====

[5]
## GdHfCd (PBE-GGA)

Data for crystalline GdHfCd at its relaxed geometry.

The structure in extended XYZ format:
```
3
Lattice="-1.7278 -1.7256 -2.3092 -1.7881 -1.4702 2.4365 -2.6936 6.4826 -0.3831" Properties=species:S:1:pos:R:3 pbc="T T T"
Gd -0.0238 0.0262 -0.0017
Hf -3.3054 0.1002 -0.0474
Cd -2.8802 3.1605 -0.2067
```

Space group: No. 107
Size of the total moment in μB/cell: 7.14
Energy relative to the elements in meV per atom: -54.4
VASP energy in eV per atom: -8.371

=====

[6]
## GdHfZnCd (PBE-GGA)

Data for crystalline GdHfZnCd at its relaxed geometry.

The structure in extended XYZ format:
```
4
Lattice="-0.8346 3.6492 -3.3494 -4.7047 1.3889 -1.0811 -1.7138 4.4677 1.5280" Properties=species:S:1:pos:R:3 pbc="T T T"
Zn 0.0000 0.0000 0.0000
Gd -1.8133 2.3764 -0.7256
Hf -5.4399 7.1293 -2.1769
Cd -3.6266 4.7529 -1.4513
```

Space group: No. 216
Size of the total moment in μB/cell: 8.05
Energy relative to the elements in meV per atom: -82.9
VASP energy in eV per atom: -6.639

=====

[7]
## Gd2CdHg (PBE-GGA)

Data for crystalline Gd2CdHg at its relaxed geometry.

The structure in extended XYZ format:
```
4
Lattice="3.7991 0.0000 0.0000 0.0000 5.2912 0.0000 0.0000 0.0000 5.2912" Properties=species:S:1:pos:R:3 pbc="T T T"
Gd 0.0000 0.0000 2.6456
Gd 0.0000 2.6456 0.0000
Hg 1.8995 2.6456 2.6456
Cd 1.8995 0.0000 0.0000
```

Space group: No. 123
Size of the total moment in μB/cell: 15.07
Energy relative to the elements in meV per atom: -429.1
VASP energy in eV per atom: -7.774

=====

[8]
## Gd2CdHg (PBE-GGA)

Data for crystalline Gd2CdHg at its relaxed geometry.

The structure in extended XYZ format:
```
4
Lattice="5.3177 0.0000 0.0000 2.6588 4.6052 0.0000 2.6588 1.5351 4.3419" Properties=species:S:1:pos:R:3 pbc="T T T"
Gd 2.6588 1.5351 1.0855
Gd 7.9765 4.6052 3.2564
Hg 0.0000 0.0000 0.0000
Cd 5.3177 3.0702 2.1709
```

Space group: No. 225
Size of the total moment in μB/cell: 15.02
Energy relative to the elements in meV per atom: -428.6
VASP energy in eV per atom: -7.773

=====

[9]
## GdCdHg4 (PBE-GGA)

Data for crystalline GdCdHg4 at its relaxed geometry.

The structure in extended XYZ format:
```
6
Lattice="6.0147 0.0000 0.0000 3.0073 5.2089 0.0000 3.0073 1.7363 4.9110" Properties=species:S:1:pos:R:3 pbc="T T T"
Gd 3.0073 1.7363 1.2277
Hg 6.0147 3.4726 0.6149
Hg 6.0147 1.7373 3.0690
Hg 7.5175 4.3402 3.0690
Hg 4.5119 4.3402 3.0690
Cd 0.0000 0.0000 0.0000
```

Space group: No. 216
Size of the total moment in μB/cell: 7.17
Energy relative to the elements in meV per atom: -47.7
VASP energy in eV per atom: -2.748

=====

[10]
## Gd2CdHg (PBE-GGA)

Data for crystalline Gd2CdHg at its relaxed geometry.

The structure in extended XYZ format:
```
4
Lattice="3.7170 0.0000 0.0000 1.8585 3.2190 0.0000 1.8585 1.0730 9.6275" Properties=species:S:1:pos:R:3 pbc="T T T"
Gd 1.8585 1.0730 2.3599
Gd 5.5754 3.2190 7.2676
Hg 0.0000 0.0000 0.0000
Cd 3.7170 2.1460 4.8137
```

Space group: No. 166
Size of the total moment in μB/cell: 15.16
Energy relative to the elements in meV per atom: -252.0
VASP energy in eV per atom: -7.597

=====

[11]
## GdHoCdHg (PBE-GGA)

Data for crystalline GdHoCdHg at its relaxed geometry.

The structure in extended XYZ format:
```
4
Lattice="-0.6375 2.0748 -4.8201 -2.7463 -2.6340 -3.6694 -4.7502 1.7573 -1.5141" Properties=species:S:1:pos:R:3 pbc="T T T"
Cd 0.0000 0.0000 0.0000
Gd -2.0335 0.2995 -2.5009
Hg -4.0670 0.5991 -5.0018
Ho -6.1005 0.8986 -7.5027
```

Space group: No. 216
Size of the total moment in μB/cell: 7.77
Energy relative to the elements in meV per atom: -408.0
VASP energy in eV per atom: -5.377

=====

[12]
## GdCdHgIr (PBE-GGA)

Data for crystalline GdCdHgIr at its relaxed geometry.

The structure in extended XYZ format:
```
4
Lattice="-2.1587 -4.4390 0.0729 2.0806 -3.7957 -2.3734 2.0390 -3.6945 2.5619" Properties=species:S:1:pos:R:3 pbc="T T T"
Gd 0.0000 0.0000 0.0000
Ir 0.4902 -2.9823 0.0653
Hg 1.4707 -8.9469 0.1960
Cd 0.9805 -5.9646 0.1307
```

Space group: No. 216
Size of the total moment in μB/cell: 7.11
Energy relative to the elements in meV per atom: -236.4
VASP energy in eV per atom: -6.276

=====

What is the size of the total moment in the second record?
15.54 μB/cell